1.
A geometry-optimized Er4In5 structure. Source: Alexandria via LeMat-Bulk, functional PBE-GGA.

Summary:
total energy = -0.145 Ha/atom
M_tot = 0.000 μB per formula unit
formation energy from the elements = -0.383 eV per atom

a = 6.430 Å, b = 9.197 Å, c = 9.197 Å
α = 120.00°, β = 90.00°, γ = 90.00°
Sites, in units of the cell vectors:
Er1 0.000 0.000 0.000
Er2 0.500 0.000 0.000
Er3 0.750 0.367 0.367
Er4 0.750 0.000 0.633
Er5 0.750 0.633 0.000
Er6 0.250 0.633 0.633
Er7 0.250 0.000 0.367
Er8 0.250 0.367 0.000
In1 0.750 0.698 0.698
In2 0.750 0.000 0.302
In3 0.750 0.302 0.000
In4 0.250 0.302 0.302
In5 0.250 0.000 0.698
In6 0.250 0.698 0.000
In7 0.000 0.667 0.333
In8 0.500 0.333 0.667
In9 0.000 0.333 0.667
In10 0.500 0.667 0.333



2.
A geometry-optimized Er3In structure. Source: Alexandria via LeMat-Bulk, functional PBE-GGA.

Summary:
total energy = -0.160 Ha/atom
M_tot = 0.000 μB per formula unit
formation energy from the elements = -0.261 eV per atom

a = 4.801 Å, b = 4.801 Å, c = 4.801 Å
α = 90.00°, β = 90.00°, γ = 90.00°
Sites, in units of the cell vectors:
In1 0.000 0.000 0.000
Er1 0.500 0.500 0.000
Er2 0.500 0.000 0.500
Er3 0.000 0.500 0.500